{
  "formula": "Sr2NiOs",
  "functional": "PBE",
  "state": "optimized geometry",
  "lattice_angstrom": [[0.0000, 3.5380, 3.5380], [3.5380, 0.0000, 3.5380], [3.5380, 3.5380, 0.0000]],
  "species": ["Sr", "Sr", "Ni", "Os"],
  "frac_coords": [[0.0000, 0.0000, 0.0000], [0.2500, 0.2500, 0.2500], [0.7500, 0.7500, 0.7500], [0.5000, 0.5000, 0.5000]],
  "crystal_system": "cubic",
  "e_above_lowest_polymorph_ev_per_atom": 0.6066,
  "e_form_ev_per_atom": 0.86
}